Crystalline TaZnFe2 at its relaxed geometry. Source: the Alexandria database, functional PBE.

Computed properties:
final energy: -7.45 eV/atom
DOS at the Fermi energy: 0.6739 states/eV per atom
energy of formation: 0.066 eV per atom

abc: 2.6578 4.2022 5.0388
angles: 90.00 102.42 90.00
Space group Pm (No. 6)
Asymmetric unit:
Ta 0.0000 0.0000 0.0000 x1
Zn 0.6730 0.5000 0.2838 x1
Fe 0.2994 0.5000 0.7473 x1
Fe 0.4898 0.0000 0.5173 x1

Crystalline TaZnFe2 at its relaxed geometry. Source: the Alexandria database, functional PBE.

Computed properties:
final energy: -7.40 eV/atom
DOS at the Fermi energy: 0.9165 states/eV per atom
energy of formation: 0.110 eV per atom

abc: 6.0475 6.0475 6.0475
angles: 90.00 90.00 90.00
Space group F-43m (No. 216)
Asymmetric unit:
Ta 0.0000 0.0000 0.0000 x4
Zn 0.2500 0.2500 0.7500 x4
Fe 0.0000 0.0000 0.5000 x4
Fe 0.2500 0.2500 0.2500 x4

Crystalline TaZnFe at its relaxed geometry. Source: the Alexandria database, functional PBE.

Computed properties:
final energy: -7.19 eV/atom
DOS at the Fermi energy: 0.2321 states/eV per atom
energy of formation: 0.003 eV per atom

abc: 3.1772 3.1772 8.5065
angles: 90.00 90.00 90.00
Space group I4mm (No. 107)
Asymmetric unit:
Ta 0.0000 0.0000 0.0000 x2
Zn 0.0000 0.0000 0.3153 x2
Fe 0.0000 0.0000 0.6547 x2

Crystalline TaZnFe2 at its relaxed geometry. Source: the Alexandria database, functional PBE.

Computed properties:
final energy: -7.50 eV/atom
DOS at the Fermi energy: 0.7316 states/eV per atom
energy of formation: 0.014 eV per atom

abc: 3.1759 4.0512 8.3497
angles: 90.00 90.00 90.00
Space group Imm2 (No. 44)
Asymmetric unit:
Ta 0.0000 0.0000 0.0000 x2
Zn 0.0000 0.5000 0.7682 x2
Fe 0.0000 0.0000 0.5172 x2
Fe 0.0000 0.5000 0.2494 x2

Crystalline TaZn2Fe at its relaxed geometry. Source: the Alexandria database, functional PBE.

Computed properties:
final energy: -5.66 eV/atom
DOS at the Fermi energy: 0.5842 states/eV per atom
energy of formation: 0.058 eV per atom

abc: 2.7695 2.7695 7.6200
angles: 90.00 90.00 90.00
Space group P4/mmm (No. 123)
Asymmetric unit:
Ta 0.0000 0.0000 0.0000 x1
Zn 0.5000 0.5000 0.2711 x2
Fe 0.0000 0.0000 0.5000 x1

Crystalline TaZnFe at its relaxed geometry. Source: the Alexandria database, functional PBE.

Computed properties:
final energy: -6.83 eV/atom
DOS at the Fermi energy: 1.3355 states/eV per atom
energy of formation: 0.366 eV per atom

abc: 5.7839 5.7839 5.7839
angles: 90.00 90.00 90.00
Space group F-43m (No. 216)
Asymmetric unit:
Ta 0.0000 0.0000 0.0000 x4
Zn 0.0000 0.0000 0.5000 x4
Fe 0.2500 0.2500 0.2500 x4

Crystalline TaZnFe at its relaxed geometry. Source: the Alexandria database, functional PBE.

Computed properties:
final energy: -7.11 eV/atom
DOS at the Fermi energy: 0.7933 states/eV per atom
energy of formation: 0.085 eV per atom

abc: 3.4502 4.2077 12.2226
angles: 90.00 90.00 90.00
Space group Fmm2 (No. 42)
Asymmetric unit:
Ta 0.0000 0.0000 0.0000 x4
Zn 0.0000 0.0000 0.3186 x4
Fe 0.0000 0.0000 0.6653 x4

Crystalline TaZn2Fe at its relaxed geometry. Source: the Alexandria database, functional PBE.

Computed properties:
final energy: -5.63 eV/atom
DOS at the Fermi energy: 0.6349 states/eV per atom
energy of formation: 0.085 eV per atom

abc: 9.6392 3.0942 4.1673
angles: 90.00 113.09 90.00
Space group C2/m (No. 12)
Asymmetric unit:
Ta 0.0000 0.0000 0.0000 x2
Zn 0.2339 0.0000 0.7324 x4
Fe 0.0000 0.5000 0.5000 x2